No. 1
Below is MnFe2Pt after structural relaxation, with properties calculated at the PBE level.

```
data_MnFe2Pt
_chemical_formula_sum 'Mn4 Fe8 Pt4'
_space_group_name_H-M_alt 'F m -3 m'
_space_group_IT_number 225
_space_group_name_Hall '-F 4 2 3'
_cell_length_a 5.981
_cell_length_b 5.981
_cell_length_c 5.981
_cell_angle_alpha 90.00
_cell_angle_beta 90.00
_cell_angle_gamma 90.00
loop_
_atom_site_label
_atom_site_type_symbol
_atom_site_fract_x
_atom_site_fract_y
_atom_site_fract_z
Mn1 Mn 0.000 0.000 0.000
Fe1 Fe 0.250 0.250 0.250
Pt1 Pt 0.000 0.000 0.500
```

Summary:
size of the total moment	2.3	μB/f.u.
density	11.23	Mg/m³
formation enthalpy at 0 K	0.0952	eV/atom
VASP energy	-7.94	eV/atom


No. 2
Below is MnFe2Pt after structural relaxation, with properties calculated at the PBE level.

```
data_MnFe2Pt
_chemical_formula_sum 'Mn4 Fe8 Pt4'
_space_group_name_H-M_alt 'I -4 2 d'
_space_group_IT_number 122
_space_group_name_Hall 'I -4 2bw'
_cell_length_a 3.588
_cell_length_b 3.588
_cell_length_c 18.363
_cell_angle_alpha 90.00
_cell_angle_beta 90.00
_cell_angle_gamma 90.00
loop_
_atom_site_label
_atom_site_type_symbol
_atom_site_fract_x
_atom_site_fract_y
_atom_site_fract_z
Mn1 Mn 0.000 0.000 0.000
Fe1 Fe 0.245 0.250 0.125
Pt1 Pt 0.000 0.000 0.500
```

Summary:
size of the total moment	9.5	μB/f.u.
density	10.17	Mg/m³
formation enthalpy at 0 K	0.3369	eV/atom
VASP energy	-7.70	eV/atom


No. 3
Below is Mn4FePt after structural relaxation, with properties calculated at the PBE level.

```
data_Mn4FePt
_chemical_formula_sum 'Mn16 Fe4 Pt4'
_space_group_name_H-M_alt 'F -4 3 m'
_space_group_IT_number 216
_space_group_name_Hall 'F -4 2 3'
_cell_length_a 6.582
_cell_length_b 6.582
_cell_length_c 6.582
_cell_angle_alpha 90.00
_cell_angle_beta 90.00
_cell_angle_gamma 90.00
loop_
_atom_site_label
_atom_site_type_symbol
_atom_site_fract_x
_atom_site_fract_y
_atom_site_fract_z
Mn1 Mn 0.125 0.125 0.125
Fe1 Fe 0.000 0.000 0.500
Pt1 Pt 0.250 0.250 0.750
```

Summary:
size of the total moment	4.0	μB/f.u.
density	10.96	Mg/m³
formation enthalpy at 0 K	0.1095	eV/atom
VASP energy	-8.42	eV/atom


No. 4
Below is MnFe4Pt after structural relaxation, with properties calculated at the PBE level.

```
data_MnFe4Pt
_chemical_formula_sum 'Mn4 Fe16 Pt4'
_space_group_name_H-M_alt 'F -4 3 m'
_space_group_IT_number 216
_space_group_name_Hall 'F -4 2 3'
_cell_length_a 6.731
_cell_length_b 6.731
_cell_length_c 6.731
_cell_angle_alpha 90.00
_cell_angle_beta 90.00
_cell_angle_gamma 90.00
loop_
_atom_site_label
_atom_site_type_symbol
_atom_site_fract_x
_atom_site_fract_y
_atom_site_fract_z
Mn1 Mn 0.000 0.000 0.000
Fe1 Fe 0.126 0.126 0.374
Pt1 Pt 0.250 0.250 0.750
```

Summary:
size of the total moment	12.8	μB/f.u.
density	10.31	Mg/m³
formation enthalpy at 0 K	0.0347	eV/atom
VASP energy	-8.14	eV/atom